Compound: LiTePH
Source: the Alexandria database
Functional: GGA-PBE
Structure: optimized geometry

Unit cell a=4.600 b=4.676 c=4.756 alpha=60.61 beta=85.29 gamma=89.93
Fractional positions:
P  0.837  0.392  0.939
Li  0.339  0.547  0.630
H  0.868  0.222  0.279
Te  0.565  0.871  0.982

Values from the calculation:
E above lowest polymorph   0.0190 eV/atom

Compound: LiTePH
Source: the Alexandria database
Functional: GGA-PBE
Structure: optimized geometry

Unit cell a=3.395 b=4.968 c=5.763 alpha=67.03 beta=90.00 gamma=70.12
Fractional positions:
Li  0.858  0.450  0.039
H  0.204  0.760  0.406
P  0.346  0.474  0.371
Te  0.525  0.114  0.828

Values from the calculation:
E above lowest polymorph   0.0003 eV/atom

Compound: LiTePH
Source: the Alexandria database
Functional: GGA-PBE
Structure: optimized geometry

Unit cell a=3.897 b=4.514 c=9.163 alpha=90.00 beta=114.11 gamma=90.00
Fractional positions:
Te  0.716  0.500  0.117
H  0.067  0.500  0.457
Te  0.716  0.000  0.617
P  0.235  0.500  0.629
P  0.235  0.000  0.129
Li  0.950  0.000  0.348
H  0.067  0.000  0.957
Li  0.950  0.500  0.848

Values from the calculation:
E above lowest polymorph   0.0320 eV/atom

Compound: LiTePH
Source: the Alexandria database
Functional: GGA-PBE
Structure: optimized geometry

Unit cell a=4.463 b=3.393 c=5.678 alpha=90.00 beta=107.91 gamma=90.00
Fractional positions:
Li  0.612  0.000  0.641
P  0.254  0.500  0.276
Te  0.183  0.500  0.821
H  0.595  0.500  0.346

Values from the calculation:
E above lowest polymorph   0.0554 eV/atom

Compound: LiTePH
Source: the Alexandria database
Functional: GGA-PBE
Structure: optimized geometry

Unit cell a=3.718 b=4.587 c=5.794 alpha=67.32 beta=71.05 gamma=66.14
Fractional positions:
Te  0.380  0.252  0.903
H  0.264  0.667  0.719
P  0.148  0.283  0.336
Li  0.834  0.848  0.398

Values from the calculation:
E above lowest polymorph   0.2581 eV/atom

Compound: LiTe2PH
Source: the Alexandria database
Functional: GGA-PBE
Structure: optimized geometry

Unit cell a=5.036 b=4.440 c=5.036 alpha=90.00 beta=90.00 gamma=90.00
Fractional positions:
Li  0.000  0.000  0.000
Te  0.000  0.000  0.500
Te  0.500  0.000  0.000
P  0.000  0.500  0.000
H  0.500  0.500  0.500

Values from the calculation:
Final energy   -2.537 eV per atom